[1]
A relaxed structure of Ag3CSe. Source: the Alexandria database, functional GGA-PBE.

The crystal system is cubic. The value obtained for the energy relative to the elements, uncorrected is 1.55 eV per atom. The space-group type is Pm-3m. For the energy above the lowest structure with this stoichiometry, the calculation gives 677 meV/atom.

abc: 5.050 5.050 5.050
angles: 90.00 90.00 90.00
Site moments in Bohr magnetons follow the coordinates.
Fractional coordinates of all 5 atoms:
C1 0.500 0.500 0.500  1.06
Se1 0.000 0.000 0.000  0.11
Ag1 0.000 0.500 0.000  0.07
Ag2 0.000 0.000 0.500  0.06
Ag3 0.500 0.000 0.000  0.05



[2]
A relaxed structure of Ag3CSe. Source: the Alexandria database, functional GGA-PBE.

The crystal system is cubic. The value obtained for the energy relative to the elements, uncorrected is 0.87 eV per atom. The space-group type is Pm-3m. For the energy above the lowest structure with this stoichiometry, the calculation gives 0 meV/atom.

abc: 4.414 4.414 4.414
angles: 90.00 90.00 90.00
Fractional coordinates of all 5 atoms:
C1 0.000 0.000 0.000
Se1 0.500 0.500 0.500
Ag1 0.000 0.500 0.000
Ag2 0.000 0.000 0.500
Ag3 0.500 0.000 0.000



| no. | mass density (Mg/m³) |
| --- | --- |
| 1 | 5.35 |
| 2 | 8.00 |